(1)
# PBE Pu2PaV, optimized geometry
# Density, Mg/m³: 14.79
# DFT formation energy, kJ/mol of formula units: 172.2
# E, eV/f.u.: -45.5
data_Pu2PaV
_cell_length_a 10.6453
_cell_length_b 10.6453
_cell_length_c 10.6453
_cell_angle_alpha 16.66
_cell_angle_beta 16.66
_cell_angle_gamma 16.66
_symmetry_space_group_name_H-M 'P 1'
_symmetry_Int_Tables_number 1
loop_
_symmetry_equiv_pos_as_xyz
'x,y,z'
loop_
_atom_site_label
_atom_site_fract_x
_atom_site_fract_y
_atom_site_fract_z
Pu1 0.0928 0.0928 0.0928
Pu2 0.9072 0.9072 0.9072
Pa1 0.0000 0.0000 0.0000
V1 0.5000 0.5000 0.5000

(2)
# PBE TbMg5Pb6, optimized geometry
# Density, Mg/m³: 7.92
# DFT formation energy, kJ/mol of formula units: -142.3
# E, eV/f.u.: -36.3
data_TbMg5Pb6
_cell_length_a 8.6216
_cell_length_b 8.6216
_cell_length_c 7.2338
_cell_angle_alpha 90.00
_cell_angle_beta 90.00
_cell_angle_gamma 143.56
_symmetry_space_group_name_H-M 'P 1'
_symmetry_Int_Tables_number 1
loop_
_symmetry_equiv_pos_as_xyz
'x,y,z'
loop_
_atom_site_label
_atom_site_fract_x
_atom_site_fract_y
_atom_site_fract_z
Tb1 0.0000 0.0000 0.0000
Mg1 0.0000 0.0000 0.5000
Mg2 0.3288 0.6712 0.5000
Mg3 0.3382 0.6618 0.0000
Mg4 0.6618 0.3382 0.0000
Mg5 0.6712 0.3288 0.5000
Pb1 0.1706 0.8294 0.2497
Pb2 0.1706 0.8294 0.7503
Pb3 0.5000 0.5000 0.2634
Pb4 0.5000 0.5000 0.7366
Pb5 0.8294 0.1706 0.2497
Pb6 0.8294 0.1706 0.7503